A plane-wave DFT calculation with PBE was carried out for a geometry-optimized NiPt3 structure.

The structure in POSCAR format:
```
NiPt3
1.0
-1.5050 -2.2787 0.3806
1.7197 -0.8013 2.0007
-4.2990 3.7041 5.1787
Ni Pt
1 3
direct
0.0000 0.0000 0.0000
0.0000 0.0000 0.5000
0.5000 0.5000 0.2299
0.5000 0.5000 0.7701
```

Results
The density of states at the Fermi level comes out at 5.65 states/eV/cell. As for the space-group type: P4/mmm, No. 123. The formation energy comes out at -0.08 eV/atom.

---

A plane-wave DFT calculation with PBE was carried out for a geometry-optimized NiPt2 structure.

The structure in POSCAR format:
```
NiPt2
1.0
11.7635 -2.0226 1.6237
10.5790 -2.3173 5.2747
-11.4617 0.2832 -3.6957
Ni Pt
2 4
direct
0.0000 0.0000 0.0000
0.7500 0.2500 0.5000
0.5752 0.5752 0.0000
0.1748 0.6748 0.5000
0.4248 0.4248 0.0000
0.3252 0.8252 0.5000
```

Results
The density of states at the Fermi level comes out at 8.40 states/eV/cell. As for the space-group type: I4_1/amd, No. 141. The formation energy comes out at 0.00 eV/atom.

---

A plane-wave DFT calculation with PBE was carried out for a geometry-optimized NiPt2 structure.

The structure in POSCAR format:
```
NiPt2
1.0
-3.4286 -1.6776 0.3088
1.5044 -1.7206 7.3553
-2.7032 5.4939 -0.1687
Ni Pt
4 8
direct
0.0000 0.0049 0.0005
0.5000 0.0879 0.3304
0.5000 0.2452 0.0010
0.5000 0.4095 0.6652
0.0000 0.1731 0.6723
0.0000 0.3151 0.3219
0.0000 0.4928 0.9963
0.5000 0.5755 0.3350
0.0000 0.6628 0.6686
0.5000 0.7596 0.0026
0.0000 0.8460 0.3307
0.5000 0.9276 0.6756
```

Results
The density of states at the Fermi level comes out at 18.64 states/eV/cell. As for the space-group type: Pm, No. 6. The formation energy comes out at -0.06 eV/atom.

---

A plane-wave DFT calculation with PBE was carried out for a geometry-optimized Ni3Pt structure.

The structure in POSCAR format:
```
Ni3Pt
1.0
-1.2196 -1.5655 -4.7854
-2.3835 -3.0911 1.6187
-3.5355 2.7303 0.0079
Ni Pt
6 2
direct
0.0000 0.5000 0.3215
0.2506 0.0000 0.1641
0.2494 0.5000 0.8359
0.5000 0.0000 0.6785
0.7494 0.0000 0.1641
0.7506 0.5000 0.8359
0.0000 0.0000 0.6649
0.5000 0.5000 0.3351
```

Results
The density of states at the Fermi level comes out at 14.56 states/eV/cell. As for the space-group type: Pmmn, No. 59. The formation energy comes out at -0.05 eV/atom.

---

A plane-wave DFT calculation with PBE was carried out for a geometry-optimized NiPt2 structure.

The structure in POSCAR format:
```
NiPt2
1.0
-1.7263 -0.9752 -1.8830
-2.2739 -1.0613 4.6195
-4.0016 4.9746 1.0923
Ni Pt
2 4
direct
0.0016 0.0033 0.9897
0.6667 0.3333 0.6713
0.3901 0.7802 0.7310
0.0590 0.1180 0.3993
0.3377 0.6755 0.3262
0.7115 0.4231 0.0492
```

Results
The density of states at the Fermi level comes out at 10.57 states/eV/cell. As for the space-group type: Cm, No. 8. The formation energy comes out at -0.01 eV/atom.

---

A plane-wave DFT calculation with PBE was carried out for a geometry-optimized NiPt structure.

The structure in POSCAR format:
```
NiPt
1.0
6.8832 0.0000 0.0000
0.0000 6.8832 0.0000
0.0000 0.0000 4.8873
Ni Pt
8 8
direct
0.4209 0.7214 0.0000
0.5791 0.2786 0.0000
0.2786 0.4209 0.0000
0.7214 0.5791 0.0000
0.9209 0.2214 0.5000
0.0791 0.7786 0.5000
0.7786 0.9209 0.5000
0.2214 0.0791 0.5000
0.2822 0.0536 0.0000
0.7178 0.9464 0.0000
0.9464 0.2822 0.0000
0.0536 0.7178 0.0000
0.7822 0.5536 0.5000
0.2178 0.4464 0.5000
0.4464 0.7822 0.5000
0.5536 0.2178 0.5000
```

Results
The density of states at the Fermi level comes out at 31.31 states/eV/cell. As for the space-group type: I4/m, No. 87. The formation energy comes out at 0.31 eV/atom.

---

A plane-wave DFT calculation with PBE was carried out for a geometry-optimized NiPt2 structure.

The structure in POSCAR format:
```
NiPt2
1.0
3.8750 0.0000 0.0000
0.0000 7.5662 -0.0049
0.0000 -1.8805 5.8310
Ni Pt
4 8
direct
0.0000 0.0066 0.9920
0.5000 0.0840 0.3257
0.0000 0.1660 0.6743
0.5000 0.2434 0.0080
0.0000 0.3096 0.3259
0.5000 0.3950 0.6658
0.0000 0.4860 0.9969
0.5000 0.5796 0.3313
0.0000 0.6704 0.6687
0.5000 0.7640 0.0031
0.0000 0.8550 0.3342
0.5000 0.9404 0.6741
```

Results
The density of states at the Fermi level comes out at 18.19 states/eV/cell. As for the space-group type: P2_1/m, No. 11. The formation energy comes out at -0.06 eV/atom.

---

A plane-wave DFT calculation with PBE was carried out for a geometry-optimized NiPt structure.

The structure in POSCAR format:
```
NiPt
1.0
-1.7520 -2.3134 -2.3702
4.2167 -1.5071 1.3157
-0.1078 -2.6402 2.6566
Ni Pt
2 2
direct
0.0000 0.0000 0.0000
0.7500 0.5000 0.7500
0.2500 0.5000 0.2500
0.5000 0.0000 0.5000
```

Results
The density of states at the Fermi level comes out at 5.61 states/eV/cell. As for the space-group type: I4_1/amd, No. 141. The formation energy comes out at -0.08 eV/atom.